# 1
Material: SmHoTh2Bi5
Method: DFT, GGA-PBE
State: relaxed

a b c (Å): 5.4946 5.4946 11.7328
angles (deg): 90.00 90.00 90.00
Closest atoms and distances in Å follow each position.
Space group P4/mmm (No. 123)
Inequivalent atoms, fractional coordinates:
Sm1 0.0000 0.0000 0.0000  6 Bi 2.75-2.99
Ho1 0.0000 0.0000 0.5000  2 Bi 2.88
Th1 0.5000 0.5000 0.2000  9 Bi 3.52-3.94
Bi1 0.0000 0.0000 0.2548  1 Ho 2.88, 1 Sm 2.99
Bi2 0.0000 0.5000 0.0000  2 Sm 2.75
Bi3 0.5000 0.5000 0.5000  2 Th 3.52, 4 Ho 3.89

Summary:
The magnetization comes out at 0.000 μB per formula unit. The value obtained for the calculated volume is 354.2 Å³/f.u. The density of states at the Fermi level is 5.5 states/eV/cell. The formation energy is 0.123 eV per atom.

***

# 2
Material: Sm2HoTh3Bi6
Method: DFT, GGA-PBE
State: relaxed

a b c (Å): 19.8854 4.5678 9.1033
angles (deg): 90.00 103.09 90.00
Closest atoms and distances in Å follow each position.
Space group C2/m (No. 12)
Inequivalent atoms, fractional coordinates:
Sm1 0.1665 0.0000 0.3333  6 Bi 3.21-3.23
Ho1 0.0000 0.5000 0.0000  6 Bi 3.17-3.18
Th1 0.0000 0.5000 0.5000  6 Bi 3.24-3.27
Th2 0.1681 0.0000 0.8336  6 Bi 3.24-3.26
Bi1 0.0000 0.0000 0.2431  2 Ho 3.18, 1 Sm 3.23, 3 Th 3.26-3.27
Bi2 0.1635 0.5000 0.0838  1 Ho 3.17, 2 Sm 3.21, 3 Th 3.24-3.26
Bi3 0.1674 0.5000 0.5811  3 Sm 3.21-3.22, 3 Th 3.24

Summary:
The magnetization comes out at 0.000 μB per formula unit. The value obtained for the calculated volume is 402.7 Å³/f.u. The density of states at the Fermi level is 13.2 states/eV/cell. The formation energy is -0.732 eV per atom.

***

# 3
Material: SmHo2ThBi4
Method: DFT, GGA-PBE
State: relaxed

a b c (Å): 7.8111 4.5296 7.8318
angles (deg): 90.00 109.50 90.00
Closest atoms and distances in Å follow each position.
Space group P2/m (No. 10)
Inequivalent atoms, fractional coordinates:
Sm1 0.0000 0.0000 0.0000  6 Bi 3.22-3.23
Ho1 0.5000 0.0000 0.5000  6 Bi 3.16-3.17
Ho2 0.5000 0.5000 0.0000  6 Bi 3.15-3.16
Th1 0.0000 0.5000 0.5000  6 Bi 3.23-3.24
Bi1 0.2575 0.5000 0.2515  3 Ho 3.16-3.17, 2 Sm 3.23, 1 Th 3.23
Bi2 0.2591 0.0000 0.7545  3 Ho 3.15-3.16, 1 Sm 3.22, 2 Th 3.24

Summary:
The magnetization comes out at 0.000 μB per formula unit. The value obtained for the calculated volume is 261.2 Å³/f.u. The density of states at the Fermi level is 1.8 states/eV/cell. The formation energy is -0.801 eV per atom.

***

# 4
Material: SmHoTlBi
Method: DFT, GGA-PBE
State: relaxed

a b c (Å): 7.7465 7.7465 7.7465
angles (deg): 90.00 90.00 90.00
Closest atoms and distances in Å follow each position.
Space group F-43m (No. 216)
Inequivalent atoms, fractional coordinates:
Sm1 0.0000 0.0000 0.0000  4 Tl 3.35, 4 Bi 3.35
Ho1 0.0000 0.0000 0.5000  4 Bi 3.35, 4 Tl 3.35
Tl1 0.2500 0.2500 0.7500  4 Ho 3.35, 4 Sm 3.35
Bi1 0.2500 0.2500 0.2500  4 Ho 3.35, 4 Sm 3.35

Summary:
The magnetization comes out at 0.000 μB per formula unit. The value obtained for the calculated volume is 116.2 Å³/f.u. The density of states at the Fermi level is 15.9 states/eV/cell. The formation energy is -0.420 eV per atom.

***

# 5
Material: Sm2HoTmBi4
Method: DFT, GGA-PBE
State: relaxed

a b c (Å): 7.7947 4.5072 7.8013
angles (deg): 90.00 109.48 90.00
Closest atoms and distances in Å follow each position.
Space group P2/m (No. 10)
Inequivalent atoms, fractional coordinates:
Sm1 0.0000 0.0000 0.0000  6 Bi 3.21
Sm2 0.0000 0.5000 0.5000  6 Bi 3.22
Ho1 0.5000 0.0000 0.5000  6 Bi 3.16
Tm1 0.5000 0.5000 0.0000  6 Bi 3.15
Bi1 0.2573 0.5000 0.2515  1 Tm 3.15, 2 Ho 3.16, 3 Sm 3.21-3.22
Bi2 0.2582 0.0000 0.7536  2 Tm 3.15, 1 Ho 3.16, 3 Sm 3.21-3.22

Summary:
The magnetization comes out at 0.000 μB per formula unit. The value obtained for the calculated volume is 258.4 Å³/f.u. The density of states at the Fermi level is 1.2 states/eV/cell. The formation energy is -0.865 eV per atom.

***

# 6
Material: SmHo2Tm3Bi6
Method: DFT, GGA-PBE
State: relaxed

a b c (Å): 19.4485 4.4629 8.9266
angles (deg): 90.00 103.19 90.00
Closest atoms and distances in Å follow each position.
Space group C2/m (No. 12)
Inequivalent atoms, fractional coordinates:
Sm1 0.0000 0.0000 0.0000  6 Bi 3.19-3.20
Ho1 0.1672 0.5000 0.3334  6 Bi 3.16
Tm1 0.0000 0.0000 0.5000  6 Bi 3.12-3.15
Tm2 0.1656 0.5000 0.8325  6 Bi 3.13-3.15
Bi1 0.0001 0.5000 0.2561  3 Tm 3.12-3.14, 1 Ho 3.16, 2 Sm 3.19
Bi2 0.1661 0.0000 0.5842  3 Tm 3.15, 3 Ho 3.16
Bi3 0.1692 0.0000 0.0830  3 Tm 3.13-3.15, 2 Ho 3.16, 1 Sm 3.20

Summary:
The magnetization comes out at 0.000 μB per formula unit. The value obtained for the calculated volume is 377.2 Å³/f.u. The density of states at the Fermi level is 4.0 states/eV/cell. The formation energy is -0.822 eV per atom.